(1)
The following is a DFT calculation (PBE) of an optimized crystal structure of Cs3In2Cl8.

Calculated values
total magnetic moment = 0.00 μB/cell
calculated volume = 505 Å³/cell
formation energy (no corrections) = -1.47 eV per atom
D(E_F) = 4.134 states/eV per cell
space group = R-3m (166)
calculated density = 3.0 g/cm3
raw total energy = -3.221 eV per atom

Unit cell a=10.7139 b=10.7139 c=10.7139 alpha=42.32 beta=42.32 gamma=42.32
Closest atoms and distances in Å follow each position.
Fractional positions:
Cs  0.0000  0.0000  0.0000  6 Cl 3.67
Cs  0.2065  0.2065  0.2065  4 Cl 3.44-3.68
Cs  0.7935  0.7935  0.7935  4 Cl 3.44-3.68
In  0.4092  0.4092  0.4092  4 Cl 2.48-2.50
In  0.5908  0.5908  0.5908  4 Cl 2.48-2.50
Cl  0.2102  0.7405  0.7405  1 In 2.50
Cl  0.2595  0.2595  0.7898  1 In 2.50
Cl  0.2595  0.7898  0.2595  1 In 2.50
Cl  0.3242  0.3242  0.3242  1 In 2.48
Cl  0.6758  0.6758  0.6758  1 In 2.48
Cl  0.7405  0.2102  0.7405  1 In 2.50
Cl  0.7405  0.7405  0.2102  1 In 2.50
Cl  0.7898  0.2595  0.2595  1 In 2.50


(2)
The following is a DFT calculation (PBE) of an optimized crystal structure of Cs3In2Cl9.

Calculated values
total magnetic moment = 0.00 μB/cell
calculated volume = 959 Å³/cell
formation energy (no corrections) = -1.56 eV per atom
D(E_F) = 0.000 states/eV per cell
space group = P6_3/mmc (194)
calculated density = 3.3 g/cm3
raw total energy = -3.320 eV per atom

Unit cell a=7.5758 b=7.5758 c=19.2971 alpha=90.00 beta=90.00 gamma=120.00
Closest atoms and distances in Å follow each position.
Fractional positions:
Cs  0.0000  0.0000  0.2500  12 Cl 3.79
Cs  0.0000  0.0000  0.7500  12 Cl 3.79
Cs  0.3333  0.6667  0.0701  12 Cl 3.78-4.22
Cs  0.3333  0.6667  0.4299  12 Cl 3.78-4.22
Cs  0.6667  0.3333  0.5701  12 Cl 3.78-4.22
Cs  0.6667  0.3333  0.9299  12 Cl 3.78-4.22
In  0.3333  0.6667  0.6565  6 Cl 2.46-2.68
In  0.3333  0.6667  0.8435  6 Cl 2.46-2.68
In  0.6667  0.3333  0.1565  6 Cl 2.46-2.68
In  0.6667  0.3333  0.3435  6 Cl 2.46-2.68
Cl  0.0324  0.5162  0.7500  2 In 2.68
Cl  0.1713  0.3426  0.5918  1 In 2.46
Cl  0.1713  0.3426  0.9082  1 In 2.46
Cl  0.1713  0.8287  0.5918  1 In 2.46
Cl  0.1713  0.8287  0.9082  1 In 2.46
Cl  0.3426  0.1713  0.0918  1 In 2.46
Cl  0.3426  0.1713  0.4082  1 In 2.46
Cl  0.4838  0.5162  0.7500  2 In 2.68
Cl  0.4838  0.9676  0.7500  2 In 2.68
Cl  0.5162  0.0324  0.2500  2 In 2.68
Cl  0.5162  0.4838  0.2500  2 In 2.68
Cl  0.6574  0.8287  0.5918  1 In 2.46
Cl  0.6574  0.8287  0.9082  1 In 2.46
Cl  0.8287  0.1713  0.0918  1 In 2.46
Cl  0.8287  0.1713  0.4082  1 In 2.46
Cl  0.8287  0.6574  0.0918  1 In 2.46
Cl  0.8287  0.6574  0.4082  1 In 2.46
Cl  0.9676  0.4838  0.2500  2 In 2.68


(3)
The following is a DFT calculation (PBE) of an optimized crystal structure of CsInCl2.

Calculated values
total magnetic moment = 0.00 μB/cell
calculated volume = 131 Å³/cell
formation energy (no corrections) = -1.32 eV per atom
polymorph energy (0 for the lowest one) = 72 meV per atom
D(E_F) = 0.000 states/eV per cell
space group = P4/mmm (123)
calculated density = 4.0 g/cm3
raw total energy = -3.139 eV per atom

Unit cell a=4.0278 b=4.0278 c=8.0733 alpha=90.00 beta=90.00 gamma=90.00
Closest atoms and distances in Å follow each position.
Fractional positions:
Cs  0.0000  0.0000  0.0000  8 Cl 3.56
In  0.0000  0.0000  0.5000  8 Cl 3.42
Cl  0.5000  0.5000  0.2654  4 In 3.42, 4 Cs 3.56, 1 Cl 3.79
Cl  0.5000  0.5000  0.7346  4 In 3.42, 4 Cs 3.56, 1 Cl 3.79


(4)
The following is a DFT calculation (PBE) of an optimized crystal structure of CsInCl2.

Calculated values
total magnetic moment = 0.00 μB/cell
calculated volume = 154 Å³/cell
formation energy (no corrections) = -1.35 eV per atom
polymorph energy (0 for the lowest one) = 38 meV per atom
D(E_F) = 0.000 states/eV per cell
space group = R3m (160)
calculated density = 3.4 g/cm3
raw total energy = -3.173 eV per atom

Unit cell a=8.5292 b=8.5292 c=8.5292 alpha=31.89 beta=31.89 gamma=31.89
Closest atoms and distances in Å follow each position.
Fractional positions:
Cs  0.0000  0.0000  0.0000  6 Cl 3.47-3.50
In  0.1685  0.1685  0.1685  6 Cl 3.26-3.29
Cl  0.5769  0.5769  0.5769  3 In 3.26, 3 Cs 3.47
Cl  0.7582  0.7582  0.7582  3 In 3.29, 3 Cs 3.50


Which value of D(E_F) does entry 2 give?
0.000 states/eV per cell


What is the calculated volume in the second record?
959 Å³/cell


Repeat the first record exactly.
The following is a DFT calculation (PBE) of an optimized crystal structure of Cs3In2Cl8.

Calculated values
total magnetic moment = 0.00 μB/cell
calculated volume = 505 Å³/cell
formation energy (no corrections) = -1.47 eV per atom
D(E_F) = 4.134 states/eV per cell
space group = R-3m (166)
calculated density = 3.0 g/cm3
raw total energy = -3.221 eV per atom

Unit cell a=10.7139 b=10.7139 c=10.7139 alpha=42.32 beta=42.32 gamma=42.32
Closest atoms and distances in Å follow each position.
Fractional positions:
Cs  0.0000  0.0000  0.0000  6 Cl 3.67
Cs  0.2065  0.2065  0.2065  4 Cl 3.44-3.68
Cs  0.7935  0.7935  0.7935  4 Cl 3.44-3.68
In  0.4092  0.4092  0.4092  4 Cl 2.48-2.50
In  0.5908  0.5908  0.5908  4 Cl 2.48-2.50
Cl  0.2102  0.7405  0.7405  1 In 2.50
Cl  0.2595  0.2595  0.7898  1 In 2.50
Cl  0.2595  0.7898  0.2595  1 In 2.50
Cl  0.3242  0.3242  0.3242  1 In 2.48
Cl  0.6758  0.6758  0.6758  1 In 2.48
Cl  0.7405  0.2102  0.7405  1 In 2.50
Cl  0.7405  0.7405  0.2102  1 In 2.50
Cl  0.7898  0.2595  0.2595  1 In 2.50


Among the records above, which one has the lowest raw total energy?
Cs3In2Cl9